First-principles (PBEsol) data for a geometry-optimized CaAgHg2 structure, as listed in Alexandria via LeMat-Bulk.

## Properties
Total moment (μB/f.u.): 0.00
D(E_F) (states/eV/cell): 6.62
Energy of formation from the pure elements (kJ/mol of atoms): -36.86
E_tot (eV/cell): -32.4

```
CaAgHg2
1.0
7.009 0.000 0.000
0.000 7.009 0.000
0.000 0.000 7.009
Ca Ag Hg
4 4 8
Direct
0.000 0.000 0.000
0.000 0.500 0.500
0.500 0.000 0.500
0.500 0.500 0.000
0.000 0.000 0.500
0.000 0.500 0.000
0.500 0.000 0.000
0.500 0.500 0.500
0.250 0.250 0.250
0.250 0.250 0.750
0.250 0.750 0.250
0.250 0.750 0.750
0.750 0.250 0.250
0.750 0.250 0.750
0.750 0.750 0.250
0.750 0.750 0.750
```